CaScRe2Pb after structural relaxation. Source: Alexandria via LeMat-Bulk, functional PBEsol.

Density of states at the Fermi level: 7.08 states/eV/f.u.
Total moment: 0.00 μB per formula unit
SG: P4/mmm
Energy: -5.628 eV per atom

a = 4.6313 Å, b = 4.6313 Å, c = 5.2452 Å
α = 90.00°, β = 90.00°, γ = 90.00°
Fractional coordinates of all 5 atoms:
1 Ca 0.0000 0.0000 0.0000
2 Sc 0.5000 0.5000 0.5000
3 Re 0.0000 0.5000 0.0000
4 Re 0.5000 0.0000 0.0000
5 Pb 0.0000 0.0000 0.5000

***

CaRh2Pb2 after structural relaxation. Source: Alexandria via LeMat-Bulk, functional PBEsol.

Density of states at the Fermi level: 1.84 states/eV/f.u.
Total moment: 0.00 μB per formula unit
SG: I4/mmm
Energy: -5.490 eV per atom

a = 6.6959 Å, b = 6.6959 Å, c = 6.6959 Å
α = 142.12°, β = 142.12°, γ = 54.65°
Fractional coordinates of all 5 atoms:
1 Ca 0.0000 0.0000 0.0000
2 Rh 0.2500 0.7500 0.5000
3 Rh 0.7500 0.2500 0.5000
4 Pb 0.3748 0.3748 0.0000
5 Pb 0.6252 0.6252 0.0000

***

CaRh4Pb after structural relaxation. Source: Alexandria via LeMat-Bulk, functional PBEsol.

Density of states at the Fermi level: 8.42 states/eV/f.u.
Total moment: 0.00 μB per formula unit
SG: F-43m
Energy: -6.595 eV per atom

a = 5.2389 Å, b = 5.2389 Å, c = 5.2389 Å
α = 60.00°, β = 60.00°, γ = 60.00°
Fractional coordinates of all 6 atoms:
1 Ca 0.0000 0.0000 0.0000
2 Rh 0.3754 0.3754 0.3754
3 Rh 0.3754 0.3754 0.8737
4 Rh 0.3754 0.8737 0.3754
5 Rh 0.8737 0.3754 0.3754
6 Pb 0.7500 0.7500 0.7500

***

CaRhPb3 after structural relaxation. Source: Alexandria via LeMat-Bulk, functional PBEsol.

Density of states at the Fermi level: 7.69 states/eV/f.u.
Total moment: 0.47 μB per formula unit
SG: Pm-3m
Energy: -3.095 eV per atom

a = 5.5075 Å, b = 5.5075 Å, c = 5.5075 Å
α = 90.00°, β = 90.00°, γ = 90.00°
Fractional coordinates of all 5 atoms:
1 Ca 0.0000 0.0000 0.0000
2 Rh 0.5000 0.5000 0.5000
3 Pb 0.0000 0.0000 0.5000
4 Pb 0.0000 0.5000 0.0000
5 Pb 0.5000 0.0000 0.0000

***

CaRuPb3 after structural relaxation. Source: Alexandria via LeMat-Bulk, functional PBEsol.

Density of states at the Fermi level: 8.49 states/eV/f.u.
Total moment: 1.97 μB per formula unit
SG: Pm-3m
Energy: -3.237 eV per atom

a = 5.5421 Å, b = 5.5421 Å, c = 5.5421 Å
α = 90.00°, β = 90.00°, γ = 90.00°
Fractional coordinates of all 5 atoms:
1 Ca 0.0000 0.0000 0.0000
2 Ru 0.5000 0.5000 0.5000
3 Pb 0.0000 0.0000 0.5000
4 Pb 0.0000 0.5000 0.0000
5 Pb 0.5000 0.0000 0.0000

***

CaRuPb2 after structural relaxation. Source: Alexandria via LeMat-Bulk, functional PBEsol.

Density of states at the Fermi level: 2.59 states/eV/f.u.
Total moment: 0.00 μB per formula unit
SG: C2/m
Energy: -5.029 eV per atom

a = 4.8506 Å, b = 4.8506 Å, c = 5.9897 Å
α = 102.05°, β = 102.05°, γ = 42.03°
Fractional coordinates of all 4 atoms:
1 Ca 0.0000 0.0000 0.0000
2 Ru 0.5000 0.5000 0.5000
3 Pb 0.2335 0.2335 0.7062
4 Pb 0.7665 0.7665 0.2938

***

CaTaRuPb2 after structural relaxation. Source: Alexandria via LeMat-Bulk, functional PBEsol.

Density of states at the Fermi level: 6.46 states/eV/f.u.
Total moment: 2.64 μB per formula unit
SG: P4/mmm
Energy: -4.965 eV per atom

a = 5.3384 Å, b = 5.3384 Å, c = 5.2973 Å
α = 90.00°, β = 90.00°, γ = 90.00°
Fractional coordinates of all 5 atoms:
1 Ca 0.0000 0.0000 0.0000
2 Ta 0.0000 0.0000 0.5000
3 Ru 0.5000 0.5000 0.0000
4 Pb 0.0000 0.5000 0.5000
5 Pb 0.5000 0.0000 0.5000

***

Ca3PbS after structural relaxation. Source: Alexandria via LeMat-Bulk, functional PBEsol.

Uncorrected formation energy: -278 meV per atom
Density of states at the Fermi level: 0.18 states/eV/f.u.
Total moment: 0.00 μB per formula unit
SG: Pm-3m
Energy: -3.234 eV per atom

a = 5.7766 Å, b = 5.7766 Å, c = 5.7766 Å
α = 90.00°, β = 90.00°, γ = 90.00°
Fractional coordinates of all 5 atoms:
1 Ca 0.0000 0.0000 0.5000
2 Ca 0.0000 0.5000 0.0000
3 Ca 0.5000 0.0000 0.0000
4 Pb 0.0000 0.0000 0.0000
5 S 0.5000 0.5000 0.5000

***

> Which of these has the highest total moment?

CaTaRuPb2

***

> Which value of energy does entry 6 give?

-5.029 eV per atom

***

> total moment of number 2 (CaRh2Pb2)?

0.00 μB per formula unit